Entry one
Sc2Tl2Zn GGA-PBE relaxed; SG = No. 127; D(E_F) = 2.767 states/eV/f.u.; magnetic moment = 0.000 μB per formula unit
1.0
7.199 0.000 0.000
0.000 7.199 0.000
0.000 0.000 4.443
Sc Tl Zn
4 4 2
Direct
0.163 0.337 0.000
0.337 0.837 0.000
0.663 0.163 0.000
0.837 0.663 0.000
0.145 0.645 0.500
0.355 0.145 0.500
0.645 0.855 0.500
0.855 0.355 0.500
0.000 0.000 0.500
0.500 0.500 0.500

=====

Entry two
Sc2Tl2Zn GGA-PBE relaxed; SG = No. 127; D(E_F) = 2.406 states/eV/f.u.; magnetic moment = 0.000 μB per formula unit
1.0
7.479 0.000 0.000
0.000 7.479 0.000
0.000 0.000 4.291
Sc Tl Zn
4 4 2
Direct
0.153 0.347 0.000
0.347 0.847 0.000
0.653 0.153 0.000
0.847 0.653 0.000
0.154 0.654 0.500
0.346 0.154 0.500
0.654 0.846 0.500
0.846 0.346 0.500
0.000 0.000 0.000
0.500 0.500 0.000

=====

Q: Which of them is the most stable? A: entry one.